No. 1
# Ti3ZnTc2 | Alexandria via LeMat-Bulk | PBE-GGA | optimized geometry
# density of states at the Fermi level: 0.9081 states/eV per atom
# formation enthalpy at 0 K: -0.440 eV/atom
# total magnetic moment: 0.0 μB/f.u.
data_Ti3ZnTc2
_cell_length_a 3.149
_cell_length_b 3.149
_cell_length_c 9.267
_cell_angle_alpha 90.00
_cell_angle_beta 90.00
_cell_angle_gamma 90.00
_space_group_name_H-M_alt 'P 4/m m m'
_space_group_IT_number 123
_space_group_name_Hall '-P 4 2'
loop_
_atom_site_label
_atom_site_fract_x
_atom_site_fract_y
_atom_site_fract_z
Ti1 0.000 0.000 0.000
Ti2 0.000 0.000 0.321
Zn1 0.500 0.500 0.500
Tc1 0.500 0.500 0.170


No. 2
# ZrTiZnTc | Alexandria via LeMat-Bulk | PBE-GGA | optimized geometry
# density of states at the Fermi level: 0.9304 states/eV per atom
# formation enthalpy at 0 K: -0.277 eV/atom
# total magnetic moment: 0.0 μB/f.u.
data_ZrTiZnTc
_cell_length_a 6.467
_cell_length_b 6.467
_cell_length_c 6.467
_cell_angle_alpha 90.00
_cell_angle_beta 90.00
_cell_angle_gamma 90.00
_space_group_name_H-M_alt 'F -4 3 m'
_space_group_IT_number 216
_space_group_name_Hall 'F -4 2 3'
loop_
_atom_site_label
_atom_site_fract_x
_atom_site_fract_y
_atom_site_fract_z
Zr1 0.000 0.000 0.000
Ti1 0.000 0.000 0.500
Zn1 0.250 0.250 0.750
Tc1 0.250 0.250 0.250


No. 3
# ZrTiTc2 | Alexandria via LeMat-Bulk | PBE-GGA | optimized geometry
# density of states at the Fermi level: 1.0078 states/eV per atom
# formation enthalpy at 0 K: -0.382 eV/atom
# total magnetic moment: 0.0 μB/f.u.
data_ZrTiTc2
_cell_length_a 6.421
_cell_length_b 9.096
_cell_length_c 4.507
_cell_angle_alpha 90.00
_cell_angle_beta 90.00
_cell_angle_gamma 90.00
_space_group_name_H-M_alt 'C m c m'
_space_group_IT_number 63
_space_group_name_Hall '-C 2c 2'
loop_
_atom_site_label
_atom_site_fract_x
_atom_site_fract_y
_atom_site_fract_z
Zr1 0.000 0.128 0.250
Ti1 0.000 0.379 0.750
Tc1 0.243 0.376 0.250


No. 4
# ZrTi2Tc2 | Alexandria via LeMat-Bulk | PBE-GGA | optimized geometry
# density of states at the Fermi level: 0.6759 states/eV per atom
# formation enthalpy at 0 K: -0.150 eV/atom
# total magnetic moment: 0.0 μB/f.u.
# energy relative to the lowest polymorph listed for this composition: 0.29 eV per formula unit
data_ZrTi2Tc2
_cell_length_a 7.394
_cell_length_b 7.394
_cell_length_c 3.136
_cell_angle_alpha 90.00
_cell_angle_beta 90.00
_cell_angle_gamma 90.00
_space_group_name_H-M_alt 'P 4/m b m'
_space_group_IT_number 127
_space_group_name_Hall '-P 4 2ab'
loop_
_atom_site_label
_atom_site_fract_x
_atom_site_fract_y
_atom_site_fract_z
Zr1 0.000 0.000 0.000
Ti1 0.145 0.355 0.500
Tc1 0.152 0.652 0.000


No. 5
# ZrTi5Tc6 | Alexandria via LeMat-Bulk | PBE-GGA | optimized geometry
# density of states at the Fermi level: 0.9349 states/eV per atom
# formation enthalpy at 0 K: -0.447 eV/atom
# total magnetic moment: 0.0 μB/f.u.
data_ZrTi5Tc6
_cell_length_a 4.437
_cell_length_b 13.304
_cell_length_c 6.285
_cell_angle_alpha 90.00
_cell_angle_beta 90.00
_cell_angle_gamma 90.00
_space_group_name_H-M_alt 'C m m m'
_space_group_IT_number 65
_space_group_name_Hall '-C 2 2'
loop_
_atom_site_label
_atom_site_fract_x
_atom_site_fract_y
_atom_site_fract_z
Zr1 0.000 0.000 0.000
Ti1 0.000 0.000 0.500
Ti2 0.000 0.331 0.000
Ti3 0.000 0.333 0.500
Tc1 0.000 0.170 0.253
Tc2 0.000 0.500 0.258


No. 6
# Zr2TiTc | Alexandria via LeMat-Bulk | PBE-GGA | optimized geometry
# density of states at the Fermi level: 1.3128 states/eV per atom
# formation enthalpy at 0 K: -0.128 eV/atom
# total magnetic moment: 0.0 μB/f.u.
# energy relative to the lowest polymorph listed for this composition: 0.11 eV per formula unit
data_Zr2TiTc
_cell_length_a 4.745
_cell_length_b 4.745
_cell_length_c 3.330
_cell_angle_alpha 90.00
_cell_angle_beta 90.00
_cell_angle_gamma 90.00
_space_group_name_H-M_alt 'P 4/m m m'
_space_group_IT_number 123
_space_group_name_Hall '-P 4 2'
loop_
_atom_site_label
_atom_site_fract_x
_atom_site_fract_y
_atom_site_fract_z
Zr1 0.000 0.500 0.000
Ti1 0.000 0.000 0.500
Tc1 0.500 0.500 0.500


No. 7
# ZrTi2Tc2 | Alexandria via LeMat-Bulk | PBE-GGA | optimized geometry
# density of states at the Fermi level: 0.7993 states/eV per atom
# formation enthalpy at 0 K: -0.010 eV/atom
# total magnetic moment: 0.0 μB/f.u.
# energy relative to the lowest polymorph listed for this composition: 0.99 eV per formula unit
data_ZrTi2Tc2
_cell_length_a 3.985
_cell_length_b 3.985
_cell_length_c 11.444
_cell_angle_alpha 90.00
_cell_angle_beta 90.00
_cell_angle_gamma 90.00
_space_group_name_H-M_alt 'I 4/m m m'
_space_group_IT_number 139
_space_group_name_Hall '-I 4 2'
loop_
_atom_site_label
_atom_site_fract_x
_atom_site_fract_y
_atom_site_fract_z
Zr1 0.000 0.000 0.000
Ti1 0.000 0.500 0.250
Tc1 0.000 0.000 0.390


No. 8
# ZrTiTc2 | Alexandria via LeMat-Bulk | PBE-GGA | optimized geometry
# density of states at the Fermi level: 0.9271 states/eV per atom
# formation enthalpy at 0 K: -0.386 eV/atom
# total magnetic moment: 0.0 μB/f.u.
data_ZrTiTc2
_cell_length_a 3.203
_cell_length_b 3.203
_cell_length_c 6.397
_cell_angle_alpha 90.00
_cell_angle_beta 90.00
_cell_angle_gamma 90.00
_space_group_name_H-M_alt 'P 4/m m m'
_space_group_IT_number 123
_space_group_name_Hall '-P 4 2'
loop_
_atom_site_label
_atom_site_fract_x
_atom_site_fract_y
_atom_site_fract_z
Zr1 0.000 0.000 0.000
Ti1 0.000 0.000 0.500
Tc1 0.500 0.500 0.264


No. 9
# ZrTi4Tc | Alexandria via LeMat-Bulk | PBE-GGA | optimized geometry
# density of states at the Fermi level: 1.6550 states/eV per atom
# formation enthalpy at 0 K: 0.475 eV/atom
# total magnetic moment: 0.0 μB/f.u.
# energy relative to the lowest polymorph listed for this composition: 3.91 eV per formula unit
data_ZrTi4Tc
_cell_length_a 4.125
_cell_length_b 4.125
_cell_length_c 7.255
_cell_angle_alpha 90.00
_cell_angle_beta 90.00
_cell_angle_gamma 90.00
_space_group_name_H-M_alt 'P 4/m m m'
_space_group_IT_number 123
_space_group_name_Hall '-P 4 2'
loop_
_atom_site_label
_atom_site_fract_x
_atom_site_fract_y
_atom_site_fract_z
Zr1 0.000 0.000 0.000
Ti1 0.000 0.500 0.289
Tc1 0.500 0.500 0.500


No. 10
# Zr6Ti2Tc | Alexandria via LeMat-Bulk | PBE-GGA | optimized geometry
# density of states at the Fermi level: 1.3383 states/eV per atom
# formation enthalpy at 0 K: 0.139 eV/atom
# total magnetic moment: 0.0 μB/f.u.
data_Zr6Ti2Tc
_cell_length_a 14.610
_cell_length_b 8.469
_cell_length_c 2.955
_cell_angle_alpha 90.00
_cell_angle_beta 94.07
_cell_angle_gamma 90.00
_space_group_name_H-M_alt 'C 1 2/m 1'
_space_group_IT_number 12
_space_group_name_Hall '-C 2y'
loop_
_atom_site_label
_atom_site_fract_x
_atom_site_fract_y
_atom_site_fract_z
Zr1 0.000 0.172 0.000
Zr2 0.164 0.336 0.912
Ti1 0.167 0.000 0.503
Tc1 0.000 0.500 0.500


No. 11
# ZrTi2Tc3 | Alexandria via LeMat-Bulk | PBE-GGA | optimized geometry
# density of states at the Fermi level: 0.9906 states/eV per atom
# formation enthalpy at 0 K: -0.415 eV/atom
# total magnetic moment: 0.0 μB/f.u.
data_ZrTi2Tc3
_cell_length_a 3.168
_cell_length_b 3.168
_cell_length_c 9.523
_cell_angle_alpha 90.00
_cell_angle_beta 90.00
_cell_angle_gamma 90.00
_space_group_name_H-M_alt 'P 4/m m m'
_space_group_IT_number 123
_space_group_name_Hall '-P 4 2'
loop_
_atom_site_label
_atom_site_fract_x
_atom_site_fract_y
_atom_site_fract_z
Zr1 0.000 0.000 0.000
Ti1 0.000 0.000 0.339
Tc1 0.500 0.500 0.180
Tc2 0.500 0.500 0.500


No. 12
# Zr2Ti2Tc | Alexandria via LeMat-Bulk | PBE-GGA | optimized geometry
# density of states at the Fermi level: 0.9390 states/eV per atom
# formation enthalpy at 0 K: -0.061 eV/atom
# total magnetic moment: 0.0 μB/f.u.
# energy relative to the lowest polymorph listed for this composition: 0.00 eV per formula unit
data_Zr2Ti2Tc
_cell_length_a 6.335
_cell_length_b 6.335
_cell_length_c 4.855
_cell_angle_alpha 90.00
_cell_angle_beta 90.00
_cell_angle_gamma 90.00
_space_group_name_H-M_alt 'P 4/m b m'
_space_group_IT_number 127
_space_group_name_Hall '-P 4 2ab'
loop_
_atom_site_label
_atom_site_fract_x
_atom_site_fract_y
_atom_site_fract_z
Zr1 0.165 0.335 0.000
Ti1 0.150 0.650 0.500
Tc1 0.000 0.000 0.500


no.,uncorrected energy (eV per cell)
1,-48.3
2,-116.8
3,-154.8
4,-91.6
5,-231.2
6,-35.9
7,-90.2
8,-38.7
9,-47.6
10,-152.4
11,-57.9
12,-87.1